The following is a DFT calculation (PBE) of a relaxed TmSc2AgO crystal.

VASP energy = -6.2915 eV/atom
energy relative to the elements, uncorrected = -1.303 eV/atom
density = 6.9 g/cm³
magnetization = 0.0000 μB/atom
crystal system = tetragonal

a b c (Å): 4.425 4.425 4.673
angles (deg): 90.00 90.00 90.00
Element x y z (fractional)
Sc 0.500 0.000 0.000
O 0.000 0.000 0.000
Sc 0.000 0.500 0.000
Ag 0.500 0.500 0.500
Tm 0.000 0.000 0.500

***

The following is a DFT calculation (PBE) of a relaxed LaNbIrPd2 crystal.

energy relative to the elements = 9 kJ/mol of atoms
VASP energy = -6.7543 eV/atom
density = 9.0 g/cm³
magnetization = 0.0000 μB/atom
crystal system = tetragonal

a b c (Å): 4.907 4.869 4.907
angles (deg): 90.00 90.00 90.00
Element x y z (fractional)
Ir 0.000 0.500 0.000
Nb 0.000 0.000 0.000
Pd 0.500 0.000 0.000
La 0.500 0.500 0.500
Pd 0.000 0.000 0.500

***

The following is a DFT calculation (PBE) of a relaxed Sm6AlSn2 crystal.

energy relative to the elements = -44 kJ/mol of atoms
VASP energy = -4.9117 eV/atom
density = 7.0 g/cm³
magnetization = 0.5216 μB/atom
crystal system = hexagonal

a b c (Å): 4.473 8.427 8.427
angles (deg): 120.00 90.00 90.00
Site moments in Bohr magnetons follow the coordinates.
Element x y z (fractional)
Sm 0.500 0.592 0.000  0.36
Sm 0.500 0.408 0.408  0.36
Sn 0.000 0.667 0.333  -0.02
Sn 0.000 0.333 0.667  -0.02
Sm 0.000 0.000 0.252  0.33
Sm 0.000 0.252 0.000  0.33
Sm 0.500 0.000 0.592  0.36
Sm 0.000 0.748 0.748  0.33
Al 0.500 0.000 0.000  -0.01

***

The following is a DFT calculation (PBE) of a relaxed Ce2NdSi crystal.

VASP energy = -5.7827 eV/atom
energy relative to the elements, uncorrected = -0.268 eV/atom
density = 6.9 g/cm³
magnetization = 0.2894 μB/atom
crystal system = tetragonal

a b c (Å): 3.849 3.849 7.401
angles (deg): 90.00 90.00 90.00
Site moments in Bohr magnetons follow the coordinates.
Element x y z (fractional)
Ce 0.000 0.000 0.183  0.39
Si 0.500 0.500 0.000  -0.01
Ce 0.000 0.000 0.817  0.39
Nd 0.500 0.500 0.500  0.08